K2TbCrO6: relaxed, GGA+U.

Lattice parameters (Å, degrees): 6.210 6.210 5.715 90.00 90.00 120.00
Atoms (fractional coordinates):
K1 0.333 0.667 0.099
K2 0.667 0.333 0.901
Tb1 0.000 0.000 0.500
Cr1 0.000 0.000 0.000
O1 0.137 0.274 0.804
O2 0.137 0.863 0.804
O3 0.274 0.137 0.196
O4 0.726 0.863 0.804
O5 0.863 0.137 0.196
O6 0.863 0.726 0.196

Computed properties:
The calculation puts the theoretical density at 3.3 g/cm3. As for the total energy: -6.0137 eV/atom.